{
  "formula": "K2LiIr",
  "functional": "PBE",
  "state": "optimized geometry",
  "lattice_angstrom": [[2.7862, 0.0000, 0.0000], [0.0000, 4.6381, 0.0000], [0.0000, 0.0000, 9.3281]],
  "species": ["Ir", "K", "K", "Li"],
  "fractional_positions": [[0.5000, 0.5000, 0.7500], [0.0000, 0.0000, 0.9510], [0.0000, 0.0000, 0.5490], [0.5000, 0.5000, 0.2500]],
  "total_energy_ev_per_cell": -10.163,
  "e_form_ev_per_atom": 0.702,
  "vol_a3_per_cell": 120.5
}